(1)
The following is a DFT calculation (GGA+U) of a relaxed structure of TeWSF2.

a = 4.201 Å, b = 4.201 Å, c = 5.699 Å
α = 90.00°, β = 90.00°, γ = 90.00°
Positions (direct):
Te1 0.000 0.000 0.000
W1 0.500 0.500 0.000
S1 0.000 0.000 0.500
F1 0.000 0.500 0.500
F2 0.500 0.000 0.500

## Properties
Crystal system: tetragonal
V, Å³ per atom: 20.1
Space group: P4/mmm, No. 123
Total magnetic moment, μB per formula unit: 4.0
Total energy, eV per atom: -3.707

---

(2)
The following is a DFT calculation (GGA+U) of a relaxed structure of NiBrO.

a = 6.629 Å, b = 6.302 Å, c = 5.533 Å
α = 90.00°, β = 109.90°, γ = 90.00°
Positions (direct):
Ni1 0.019 0.123 0.239
Ni2 0.019 0.377 0.739
Ni3 0.981 0.623 0.261
Ni4 0.981 0.877 0.761
Br1 0.288 0.077 0.675
Br2 0.288 0.423 0.175
Br3 0.712 0.577 0.825
Br4 0.712 0.923 0.325
O1 0.110 0.639 0.634
O2 0.110 0.861 0.134
O3 0.890 0.139 0.866
O4 0.890 0.361 0.366

## Properties
Crystal system: monoclinic
V, Å³ per atom: 18.1
Space group: P2_1/c, No. 14
Total magnetic moment, μB per formula unit: 1.0
Total energy, eV per atom: -3.466